Ta6TiRe: optimized geometry, PBE.

energy of formation from the pure elements	123	meV/atom
volume	144.0	Å³/cell
spin magnetization	0.00	μB per cell
total DFT energy (no corrections)	-11.3098	eV/atom
space group	R-3m

a = 5.797 Å, b = 5.797 Å, c = 5.797 Å
α = 110.50°, β = 110.50°, γ = 110.50°
Fractional positions:
Ta1 0.251 0.251 0.745
Ta2 0.251 0.745 0.251
Ta3 0.255 0.749 0.749
Ta4 0.745 0.251 0.251
Ta5 0.749 0.255 0.749
Ta6 0.749 0.749 0.255
Ti1 0.000 0.000 0.000
Re1 0.500 0.500 0.500